Record 1
ScCo2Sb | PBE-GGA | relaxed

Lattice parameters (Å, degrees): 5.046 5.046 5.046 136.14 136.14 63.76
Sites, in units of the cell vectors:
Sc 0.000 0.000 0.000
Co 0.500 0.500 0.000
Co 0.750 0.250 0.500
Sb 0.250 0.750 0.500

Results
As for the formation energy without anion corrections: -0.218 eV/atom. As for the symmetry: No. 119.

Record 2
Sc2CoSb | PBE-GGA | relaxed

Lattice parameters (Å, degrees): 5.103 5.103 5.103 130.61 130.61 72.43
Sites, in units of the cell vectors:
Sc 0.250 0.750 0.500
Sc 0.750 0.250 0.500
Co 0.000 0.000 0.000
Sb 0.500 0.500 0.000

Results
As for the formation energy without anion corrections: -0.424 eV/atom. As for the symmetry: No. 139.

- Which formula does entry 2 have?
  Sc2CoSb

- The lowest formation energy without anion corrections belongs to which entry?
  Sc2CoSb